1.
Here is an optimized crystal structure of CrGa3Hg from the Alexandria database. Energies are from PBE.

Unit cell a=4.857 b=4.857 c=4.857 alpha=90.00 beta=90.00 gamma=90.00
Site moments in Bohr magnetons follow the coordinates.
Sites, in units of the cell vectors:
1 Ga 0.500 0.000 0.000  -0.02
2 Cr 0.000 0.000 0.000  2.40
3 Ga 0.000 0.500 0.000  0.03
4 Hg 0.500 0.500 0.500  0.06
5 Ga 0.000 0.000 0.500  0.06

Formation enthalpy at 0 K in meV/atom: 319.6
E above lowest polymorph in eV/atom: 0.0000
SG: Pm-3m
Crystal system: cubic

2.
Here is an optimized crystal structure of Cr2Ga2Hg from the Alexandria database. Energies are from PBE.

Unit cell a=7.560 b=7.560 c=2.770 alpha=90.00 beta=90.00 gamma=90.00
Sites, in units of the cell vectors:
1 Ga 0.684 0.184 0.000
2 Cr 0.100 0.600 0.500
3 Hg 0.000 0.000 0.000
4 Ga 0.184 0.316 0.000
5 Cr 0.600 0.900 0.500
6 Ga 0.816 0.684 0.000
7 Hg 0.500 0.500 0.000
8 Ga 0.316 0.816 0.000
9 Cr 0.900 0.400 0.500
10 Cr 0.400 0.100 0.500

Formation enthalpy at 0 K in meV/atom: 325.0
E above lowest polymorph in eV/atom: 0.0856
SG: P4/mbm
Crystal system: tetragonal

3.
Here is an optimized crystal structure of Cr2GaHg from the Alexandria database. Energies are from PBE.

Unit cell a=3.760 b=3.760 c=9.723 alpha=78.85 beta=78.85 gamma=90.00
Sites, in units of the cell vectors:
1 Cr 0.375 0.447 0.750
2 Cr 0.875 0.803 0.750
3 Ga 0.500 0.500 0.000
4 Cr 0.553 0.125 0.250
5 Ga 0.250 0.750 0.500
6 Hg 0.750 0.250 0.500
7 Cr 0.197 0.625 0.250
8 Hg 0.000 0.000 0.000

Formation enthalpy at 0 K in meV/atom: 787.3
SG: I-42d
Crystal system: tetragonal

4.
Here is an optimized crystal structure of CrGaHgN2 from the Alexandria database. Energies are from PBE.

Unit cell a=3.735 b=5.419 c=3.735 alpha=90.00 beta=90.00 gamma=90.00
Site moments in Bohr magnetons follow the coordinates.
Sites, in units of the cell vectors:
1 N 0.500 0.000 0.000  -0.08
2 Ga 0.000 0.500 0.000  -0.01
3 Hg 0.500 0.500 0.500  -0.01
4 N 0.000 0.000 0.500  -0.04
5 Cr 0.000 0.000 0.000  0.75

E_tot in eV per atom: -5.3347
SG: P4/mmm
Crystal system: tetragonal

5.
Here is an optimized crystal structure of CrGa2NiHg from the Alexandria database. Energies are from PBE.

Unit cell a=5.017 b=4.884 c=5.017 alpha=90.00 beta=90.00 gamma=90.00
Site moments in Bohr magnetons follow the coordinates.
Sites, in units of the cell vectors:
1 Ga 0.000 0.000 0.500  -0.01
2 Hg 0.000 0.000 0.000  0.00
3 Ni 0.000 0.500 0.000  -0.17
4 Cr 0.500 0.500 0.500  4.12
5 Ga 0.500 0.000 0.000  0.01

Formation enthalpy at 0 K in meV/atom: 1084.9
SG: P4/mmm
Crystal system: tetragonal

6.
Here is an optimized crystal structure of RbCr2GaHg from the Alexandria database. Energies are from PBE.

Unit cell a=5.204 b=5.432 c=5.204 alpha=90.00 beta=90.00 gamma=90.00
Site moments in Bohr magnetons follow the coordinates.
Sites, in units of the cell vectors:
1 Cr 0.500 0.000 0.000  3.92
2 Cr 0.000 0.000 0.500  4.08
3 Hg 0.000 0.500 0.000  0.02
4 Ga 0.000 0.000 0.000  -0.07
5 Rb 0.500 0.500 0.500  0.04

Formation enthalpy at 0 K in meV/atom: 715.8
E above lowest polymorph in eV/atom: 0.0000
SG: P4/mmm
Crystal system: tetragonal

7.
Here is an optimized crystal structure of RbCr2GaHg from the Alexandria database. Energies are from PBE.

Unit cell a=6.134 b=6.134 c=6.231 alpha=90.00 beta=90.00 gamma=90.00
Site moments in Bohr magnetons follow the coordinates.
Sites, in units of the cell vectors:
1 Cr 0.500 0.000 0.000  4.35
2 Cr 0.000 0.500 0.000  4.35
3 Ga 0.500 0.500 0.500  -0.06
4 Hg 0.000 0.000 0.500  0.00
5 Rb 0.000 0.000 0.000  0.08

Formation enthalpy at 0 K in meV/atom: 1741.7
E above lowest polymorph in eV/atom: 1.0259
SG: P4/mmm
Crystal system: tetragonal

8.
Here is an optimized crystal structure of CrGaHg2S from the Alexandria database. Energies are from PBE.

Unit cell a=5.228 b=5.029 c=5.228 alpha=90.00 beta=90.00 gamma=90.00
Site moments in Bohr magnetons follow the coordinates.
Sites, in units of the cell vectors:
1 S 0.500 0.500 0.500  0.36
2 Cr 0.000 0.000 0.000  3.63
3 Ga 0.000 0.500 0.000  0.04
4 Hg 0.000 0.000 0.500  0.03
5 Hg 0.500 0.000 0.000  0.09

E_tot in eV per atom: -2.8177
SG: P4/mmm
Crystal system: tetragonal